Here is crystalline Ac2La5SmDy at its relaxed geometry from the Alexandria database. Energies are from GGA-PBE.

a b c (Å): 5.6862 11.7174 10.6400
angles (deg): 90.00 90.00 104.04
With the nearest neighbours (Å) after each atom.
Sites, in units of the cell vectors:
La 0.2775 0.5550 0.3188  2 La 3.36, 1 Dy 3.38, 3 Sm 3.49-3.60, 1 Ac 3.72
La 0.9956 0.9913 0.5083  2 Dy 3.62, 4 Ac 3.70-3.77, 4 La 3.89-3.90
La 0.3771 0.7542 0.0084  1 Sm 3.69, 4 Ac 3.80, 6 La 3.86-4.06
La 0.6229 0.2458 0.5084  1 Sm 3.69, 4 Ac 3.80, 6 La 3.86-4.06
La 0.7226 0.4452 0.1973  2 La 3.36, 1 Dy 3.39, 3 Sm 3.49-3.60, 1 Ac 3.73
La 0.2774 0.5548 0.6973  2 La 3.36, 1 Dy 3.39, 3 Sm 3.49-3.60, 1 Ac 3.73
La 0.0044 0.0087 0.0083  2 Dy 3.62, 4 Ac 3.70-3.77, 4 La 3.89-3.90
La 0.5001 0.0002 0.2582  2 Dy 3.54, 6 La 3.86-3.90, 4 Ac 3.87
La 0.7225 0.4450 0.8188  2 La 3.36, 1 Dy 3.38, 3 Sm 3.49-3.60, 1 Ac 3.72
La 0.4999 0.9998 0.7582  2 Dy 3.54, 6 La 3.86-3.90, 4 Ac 3.87
Ac 0.8850 0.7701 0.2452  1 Sm 3.60, 9 La 3.70-3.87, 2 Dy 4.00
Ac 0.1152 0.2304 0.2716  1 Sm 3.60, 9 La 3.71-3.87, 2 Dy 4.00
Ac 0.8848 0.7696 0.7716  1 Sm 3.60, 9 La 3.71-3.87, 2 Dy 4.00
Ac 0.1150 0.2299 0.7452  1 Sm 3.60, 9 La 3.70-3.87, 2 Dy 4.00
Dy 0.6029 0.2058 0.0080  6 La 3.38-3.62
Dy 0.3971 0.7942 0.5080  6 La 3.38-3.62
Sm 0.7854 0.5708 0.5081  7 La 3.49-3.69, 2 Ac 3.60, 2 Dy 3.81
Sm 0.2146 0.4292 0.0081  7 La 3.49-3.69, 2 Ac 3.60, 2 Dy 3.81

* DOS(E_F): 27.17 states/eV per cell
* formation energy from the elements: 0.10 eV/atom